# 1
The following is a DFT calculation (PBE) of a relaxed Zn2Te15H24N8 crystal.

Computed properties:
* raw total energy: -4.298 eV per atom
* crystal system: monoclinic

a b c (Å): 9.955 12.837 13.709
angles (deg): 90.00 96.44 90.00
Space group P2_1/c (No. 14)
One atom of each set of equivalent atoms:
Zn (0.242, 0.009, 0.267) [4 per cell]
Te (0.000, 0.000, 0.000) [2 per cell]
Te (0.106, 0.729, 0.501) [4 per cell]
Te (0.144, 0.512, 0.065) [4 per cell]
Te (0.211, 0.202, 0.556) [4 per cell]
Te (0.242, 0.097, 0.871) [4 per cell]
Te (0.278, 0.576, 0.255) [4 per cell]
Te (0.396, 0.728, 0.498) [4 per cell]
Te (0.462, 0.221, 0.812) [4 per cell]
H (0.015, 0.114, 0.256) [4 per cell]
H (0.026, 0.606, 0.748) [4 per cell]
H (0.124, 0.166, 0.343) [4 per cell]
H (0.137, 0.190, 0.225) [4 per cell]
H (0.138, 0.667, 0.825) [4 per cell]
H (0.147, 0.671, 0.704) [4 per cell]
H (0.274, 0.026, 0.082) [4 per cell]
H (0.383, 0.062, 0.430) [4 per cell]
H (0.394, 0.566, 0.920) [4 per cell]
H (0.397, 0.093, 0.146) [4 per cell]
H (0.407, 0.536, 0.639) [4 per cell]
H (0.485, 0.011, 0.356) [4 per cell]
N (0.115, 0.133, 0.274) [4 per cell]
N (0.127, 0.623, 0.761) [4 per cell]
N (0.341, 0.025, 0.145) [4 per cell]
N (0.393, 0.002, 0.381) [4 per cell]

=====

# 2
The following is a DFT calculation (PBE) of a relaxed Rb2H2S crystal.

Computed properties:
* distance to the lowest polymorph of the same formula: 265.8 meV per atom
* crystal system: monoclinic

a b c (Å): 9.828 5.684 9.814
angles (deg): 90.00 109.27 90.00
Space group C2/c (No. 15)
One atom of each set of equivalent atoms:
Rb (0.125, 0.249, 0.125) [8 per cell]
H (0.107, 0.251, 0.642) [8 per cell]
S (0.000, 0.251, 0.750) [4 per cell]

=====

# 3
The following is a DFT calculation (PBE) of a relaxed Rb3GaF crystal.

Computed properties:
* formation energy (no corrections): -0.909 eV per atom
* distance to the lowest polymorph of the same formula: 0.0 meV per atom
* crystal system: cubic

a b c (Å): 5.756 5.756 5.756
angles (deg): 90.00 90.00 90.00
Space group Pm-3m (No. 221)
One atom of each set of equivalent atoms:
Rb (0.000, 0.000, 0.500) [3 per cell]
Ga (0.500, 0.500, 0.500) [1 per cell]
F (0.000, 0.000, 0.000) [1 per cell]

=====

# 4
The following is a DFT calculation (PBE) of a relaxed Pm2As2ClO6 crystal.

Computed properties:
* formation energy (no corrections): -2.015 eV per atom
* crystal system: triclinic

a b c (Å): 5.902 6.407 6.795
angles (deg): 64.43 64.76 75.84
Space group P-1 (No. 2)
One atom of each set of equivalent atoms:
Pm (0.216, 0.228, 0.446) [2 per cell]
As (0.089, 0.819, 0.956) [2 per cell]
Cl (0.500, 0.500, 0.500) [1 per cell]
O (0.021, 0.117, 0.280) [2 per cell]
O (0.102, 0.606, 0.231) [2 per cell]
O (0.394, 0.900, 0.762) [2 per cell]

=====

# 5
The following is a DFT calculation (PBE) of a relaxed KLa2Pb crystal.

Computed properties:
* formation energy: -0.001 eV/atom
* crystal system: orthorhombic

a b c (Å): 3.971 6.154 12.456
angles (deg): 90.00 90.00 90.00
Space group Cmm2 (No. 35)
One atom of each set of equivalent atoms:
K (0.000, 0.000, 0.000) [2 per cell]
La (0.000, 0.000, 0.464) [2 per cell]
La (0.000, 0.500, 0.693) [2 per cell]
Pb (0.000, 0.500, 0.242) [2 per cell]

=====

# 6
The following is a DFT calculation (PBE) of a relaxed Bi2PdO4 crystal.

Computed properties:
* formation energy (no corrections): -1.008 eV per atom
* distance to the lowest polymorph of the same formula: 0.0 meV per atom
* crystal system: tetragonal

a b c (Å): 8.611 8.611 6.167
angles (deg): 90.00 90.00 90.00
Space group P4/ncc (No. 130, origin choice 2)
One atom of each set of equivalent atoms:
Bi (0.077, 0.577, 0.250) [8 per cell]
Pd (0.250, 0.250, 0.080) [4 per cell]
O (0.034, 0.149, 0.588) [16 per cell]

=====

# 7
The following is a DFT calculation (PBE) of a relaxed BaY2SiNi crystal.

Computed properties:
* formation energy (no corrections): -0.065 eV per atom
* crystal system: tetragonal

a b c (Å): 5.395 5.395 4.609
angles (deg): 90.00 90.00 90.00
Space group P4/mmm (No. 123)
One atom of each set of equivalent atoms:
Ba (0.000, 0.000, 0.000) [1 per cell]
Y (0.000, 0.500, 0.500) [2 per cell]
Si (0.500, 0.500, 0.000) [1 per cell]
Ni (0.500, 0.500, 0.500) [1 per cell]

=====

# 8
The following is a DFT calculation (PBE) of a relaxed Ac3TlPt8 crystal.

Computed properties:
* formation energy: -0.895 eV/atom
* crystal system: trigonal

a b c (Å): 5.6267 5.6267 27.4828
angles (deg): 90.00 90.00 120.00
Space group R3m (No. 160, hexagonal axes)
One atom of each set of equivalent atoms:
Ac (0.0000, 0.0000, 0.0000) [3 per cell]
Ac (0.0000, 0.0000, 0.1289) [3 per cell]
Ac (0.0000, 0.0000, 0.5138) [3 per cell]
Tl (0.0000, 0.0000, 0.6383) [3 per cell]
Pt (0.0000, 0.0000, 0.3178) [3 per cell]
Pt (0.0000, 0.0000, 0.8181) [3 per cell]
Pt (0.0023, 0.5012, 0.0691) [9 per cell]
Pt (0.1686, 0.3372, 0.9006) [9 per cell]

=====

# 9
The following is a DFT calculation (PBE) of a relaxed ThAu12 crystal.

Computed properties:
* formation energy: 0.570 eV/atom
* crystal system: cubic

a b c (Å): 11.360 11.360 11.360
angles (deg): 90.00 90.00 90.00
Space group Fm-3m (No. 225)
One atom of each set of equivalent atoms:
Th (0.000, 0.000, 0.000) [4 per cell]
Au (0.000, 0.170, 0.330) [48 per cell]

=====

# 10
The following is a DFT calculation (PBE) of a relaxed AcLa5Ir3 crystal.

Computed properties:
* formation energy: -0.609 eV/atom
* crystal system: monoclinic

a b c (Å): 13.159 9.613 10.769
angles (deg): 90.00 114.68 90.00
Space group C2/m (No. 12)
One atom of each set of equivalent atoms:
Ac (0.105, 0.000, 0.302) [4 per cell]
La (0.000, 0.305, 0.000) [4 per cell]
La (0.069, 0.500, 0.372) [4 per cell]
La (0.165, 0.196, 0.670) [8 per cell]
La (0.232, 0.000, 0.035) [4 per cell]
Ir (0.000, 0.000, 0.000) [2 per cell]
Ir (0.000, 0.000, 0.500) [2 per cell]
Ir (0.159, 0.500, 0.670) [4 per cell]
Ir (0.168, 0.500, 0.167) [4 per cell]

=====

# 11
The following is a DFT calculation (PBE) of a relaxed KScGa2Tc crystal.

Computed properties:
* formation energy: 0.743 eV/atom
* crystal system: tetragonal

a b c (Å): 5.425 5.425 4.637
angles (deg): 90.00 90.00 90.00
Space group P4/mmm (No. 123)
One atom of each set of equivalent atoms:
K (0.000, 0.000, 0.000) [1 per cell]
Sc (0.500, 0.500, 0.500) [1 per cell]
Ga (0.000, 0.500, 0.500) [2 per cell]
Tc (0.500, 0.500, 0.000) [1 per cell]

=====

# 12
The following is a DFT calculation (PBE) of a relaxed In3Pb crystal.

Computed properties:
* formation energy: 0.025 eV/atom
* crystal system: orthorhombic

a b c (Å): 3.535 5.613 5.747
angles (deg): 90.00 90.00 90.00
Space group Pmm2 (No. 25)
One atom of each set of equivalent atoms:
In (0.000, 0.000, 0.000) [1 per cell]
In (0.000, 0.500, 0.349) [1 per cell]
In (0.500, 0.000, 0.494) [1 per cell]
Pb (0.500, 0.500, 0.847) [1 per cell]

=====

# 13
The following is a DFT calculation (PBE) of a relaxed Li2PmPaS4 crystal.

Computed properties:
* formation energy (no corrections): -1.611 eV per atom
* crystal system: monoclinic

a b c (Å): 6.653 3.913 6.858
angles (deg): 90.00 109.96 90.00
Space group P2/m (No. 10)
One atom of each set of equivalent atoms:
Li (0.000, 0.000, 0.000) [1 per cell]
Li (0.000, 0.500, 0.500) [1 per cell]
Pm (0.500, 0.000, 0.500) [1 per cell]
Pa (0.500, 0.500, 0.000) [1 per cell]
S (0.241, 0.000, 0.753) [2 per cell]
S (0.241, 0.500, 0.236) [2 per cell]

=====

# 14
The following is a DFT calculation (PBE) of a relaxed YZrP crystal.

Computed properties:
* formation energy: -0.720 eV/atom
* crystal system: tetragonal

a b c (Å): 3.549 3.549 10.437
angles (deg): 90.00 90.00 90.00
Space group I4mm (No. 107)
One atom of each set of equivalent atoms:
Y (0.000, 0.000, 0.000) [2 per cell]
Zr (0.000, 0.000, 0.294) [2 per cell]
P (0.000, 0.000, 0.695) [2 per cell]

=====

# 15
The following is a DFT calculation (PBE) of a relaxed TaIrBr2 crystal.

Computed properties:
* formation energy (no corrections): 0.258 eV per atom
* distance to the lowest polymorph of the same formula: 692.6 meV per atom
* crystal system: orthorhombic

a b c (Å): 3.375 6.561 9.620
angles (deg): 90.00 90.00 90.00
Space group Imm2 (No. 44)
One atom of each set of equivalent atoms:
Ta (0.000, 0.000, 0.000) [2 per cell]
Ir (0.000, 0.500, 0.327) [2 per cell]
Br (0.000, 0.000, 0.579) [2 per cell]
Br (0.000, 0.500, 0.725) [2 per cell]

=====

# 16
The following is a DFT calculation (PBE) of a relaxed BiTe3Br crystal.

Computed properties:
* formation energy (no corrections): 0.600 eV per atom
* distance to the lowest polymorph of the same formula: 0.0 meV per atom
* crystal system: cubic

a b c (Å): 5.927 5.927 5.927
angles (deg): 90.00 90.00 90.00
Space group Pm-3m (No. 221)
One atom of each set of equivalent atoms:
Bi (0.000, 0.000, 0.000) [1 per cell]
Te (0.000, 0.000, 0.500) [3 per cell]
Br (0.500, 0.500, 0.500) [1 per cell]

=====

Record-wise M_tot values, in μB/f.u.: 0.00; 0.00; 0.00; 0.00; 0.00; 0.00; 0.00; 0.00; 0.48; 0.00; 0.00; 0.00; 1.71; 0.00; 0.00; 0.00